## KPd2F8 (PBE)

Data for a relaxed structure of KPd2F8.

a b c (Å): 5.1151 5.1151 6.4489
angles (deg): 90.00 90.00 90.00
Closest atoms and distances in Å follow each position.
Fractional coordinates of all 11 atoms:
K (0.0000, 0.0000, 0.0000)  8 F 2.73
Pd (0.0000, 0.5000, 0.5000)  8 F 2.16
Pd (0.5000, 0.0000, 0.5000)  8 F 2.16
F (0.2507, 0.2507, 0.3164)  2 Pd 2.16, 1 F 2.37
F (0.2507, 0.2507, 0.6836)  2 Pd 2.16, 1 F 2.37
F (0.2507, 0.7493, 0.3164)  2 Pd 2.16, 1 F 2.37
F (0.2507, 0.7493, 0.6836)  2 Pd 2.16, 1 F 2.37
F (0.7493, 0.2507, 0.3164)  2 Pd 2.16, 1 F 2.37
F (0.7493, 0.2507, 0.6836)  2 Pd 2.16, 1 F 2.37
F (0.7493, 0.7493, 0.3164)  2 Pd 2.16, 1 F 2.37
F (0.7493, 0.7493, 0.6836)  2 Pd 2.16, 1 F 2.37

**D(E_F)**: 1.01 states/eV per atom
**M_tot**: 2.447 μB per formula unit
**Energy relative to the elements, uncorrected**: -1.273 eV/atom
**Symmetry**: P4/mmm

## LaHoAlPb (PBE)

Data for a relaxed structure of LaHoAlPb.

a b c (Å): 7.6577 7.6577 7.6577
angles (deg): 90.00 90.00 90.00
Closest atoms and distances in Å follow each position.
Fractional coordinates of all 16 atoms:
La (0.0000, 0.0000, 0.0000)  4 Pb 3.32, 4 Al 3.32
La (0.0000, 0.5000, 0.5000)  4 Pb 3.32, 4 Al 3.32
La (0.5000, 0.0000, 0.5000)  4 Pb 3.32, 4 Al 3.32
La (0.5000, 0.5000, 0.0000)  4 Pb 3.32, 4 Al 3.32
Ho (0.0000, 0.0000, 0.5000)  4 Pb 3.32, 4 Al 3.32
Ho (0.0000, 0.5000, 0.0000)  4 Pb 3.32, 4 Al 3.32
Ho (0.5000, 0.0000, 0.0000)  4 Pb 3.32, 4 Al 3.32
Ho (0.5000, 0.5000, 0.5000)  4 Pb 3.32, 4 Al 3.32
Al (0.2500, 0.2500, 0.7500)  4 La 3.32, 4 Ho 3.32
Al (0.2500, 0.7500, 0.2500)  4 La 3.32, 4 Ho 3.32
Al (0.7500, 0.2500, 0.2500)  4 La 3.32, 4 Ho 3.32
Al (0.7500, 0.7500, 0.7500)  4 La 3.32, 4 Ho 3.32
Pb (0.2500, 0.2500, 0.2500)  4 La 3.32, 4 Ho 3.32
Pb (0.2500, 0.7500, 0.7500)  4 La 3.32, 4 Ho 3.32
Pb (0.7500, 0.2500, 0.7500)  4 La 3.32, 4 Ho 3.32
Pb (0.7500, 0.7500, 0.2500)  4 La 3.32, 4 Ho 3.32

**D(E_F)**: 0.70 states/eV per atom
**M_tot**: 0.002 μB per formula unit
**Calculated formation energy**: -360 meV per atom
**Symmetry**: F-43m

## La2Cu (PBE)

Data for a relaxed structure of La2Cu.

a b c (Å): 13.0315 3.6575 7.4186
angles (deg): 90.00 105.48 90.00
Closest atoms and distances in Å follow each position.
Fractional coordinates of all 12 atoms:
La (0.1277, 0.0000, 0.0573)  4 Cu 3.13-3.25, 1 La 3.21
La (0.1500, 0.0000, 0.5837)  4 Cu 3.07-3.15
La (0.3500, 0.5000, 0.4163)  4 Cu 3.07-3.15
La (0.3723, 0.5000, 0.9427)  4 Cu 3.13-3.25, 1 La 3.21
La (0.6277, 0.5000, 0.0573)  4 Cu 3.13-3.25, 1 La 3.21
La (0.6500, 0.5000, 0.5837)  4 Cu 3.07-3.15
La (0.8500, 0.0000, 0.4163)  4 Cu 3.07-3.15
La (0.8723, 0.0000, 0.9427)  4 Cu 3.13-3.25, 1 La 3.21
Cu (0.0122, 0.5000, 0.2833)  8 La 3.07-3.25, 1 Cu 3.31
Cu (0.4878, 0.0000, 0.7167)  8 La 3.07-3.25, 1 Cu 3.31
Cu (0.5122, 0.0000, 0.2833)  8 La 3.07-3.25, 1 Cu 3.31
Cu (0.9878, 0.5000, 0.7167)  8 La 3.07-3.25, 1 Cu 3.31

**D(E_F)**: 1.28 states/eV per atom
**M_tot**: 0.000 μB per formula unit
**Calculated formation energy**: -72 meV per atom
**Symmetry**: C2/m

## NdZn8Pd3 (PBE)

Data for a relaxed structure of NdZn8Pd3.

a b c (Å): 5.1117 5.1117 8.4697
angles (deg): 90.00 90.00 120.00
Closest atoms and distances in Å follow each position.
Fractional coordinates of all 12 atoms:
Nd (0.0000, 0.0000, 0.0000)  12 Zn 3.01-3.11, 4 Pd 3.08-3.13
Zn (0.1629, 0.3257, 0.6760)  6 Zn 2.48-2.65
Zn (0.1629, 0.8371, 0.6760)  6 Zn 2.48-2.65
Zn (0.3333, 0.6667, 0.4434)  6 Zn 2.48-2.49
Zn (0.3333, 0.6667, 0.9326)  6 Zn 2.65-2.79
Zn (0.5043, 0.0086, 0.2100)  5 Zn 2.49-2.62
Zn (0.5043, 0.4957, 0.2100)  5 Zn 2.49-2.62
Zn (0.6743, 0.8371, 0.6760)  6 Zn 2.48-2.65
Zn (0.9914, 0.4957, 0.2100)  5 Zn 2.49-2.62
Pd (0.0000, 0.0000, 0.3633)  12 Zn 2.87-3.03, 1 Nd 3.08, 3 Pd 3.19
Pd (0.6667, 0.3333, 0.5054)  12 Zn 2.89-3.00, 4 Pd 3.14-3.19
Pd (0.6667, 0.3333, 0.8765)  12 Zn 2.99-3.17, 3 Nd 3.13, 1 Pd 3.14

**D(E_F)**: 0.39 states/eV per atom
**M_tot**: 0.000 μB per formula unit
**Calculated formation energy**: -312 meV per atom
**Symmetry**: P3m1

## MgCd2Ag2Hg (PBE)

Data for a relaxed structure of MgCd2Ag2Hg.

a b c (Å): 4.3732 8.9594 6.1590
angles (deg): 90.00 90.00 90.00
Closest atoms and distances in Å follow each position.
Fractional coordinates of all 12 atoms:
Mg (0.0000, 0.1594, 0.0000)  5 Ag 2.98-3.16, 4 Hg 3.01-3.05, 3 Cd 3.07-3.14
Mg (0.0000, 0.8406, 0.5000)  5 Ag 2.98-3.16, 4 Hg 3.01-3.05, 3 Cd 3.07-3.14
Cd (0.0000, 0.4988, 0.4753)  5 Ag 2.92-3.06, 1 Mg 3.07, 6 Cd 3.07-3.09
Cd (0.0000, 0.5012, 0.9753)  5 Ag 2.92-3.06, 1 Mg 3.07, 6 Cd 3.07-3.09
Cd (0.5000, 0.3289, 0.7299)  1 Hg 2.99, 5 Ag 2.99-3.12, 4 Cd 3.07-3.09, 2 Mg 3.14
Cd (0.5000, 0.6711, 0.2299)  1 Hg 2.99, 5 Ag 2.99-3.12, 4 Cd 3.07-3.09, 2 Mg 3.14
Ag (0.0000, 0.1733, 0.4880)  3 Cd 2.92-2.99, 3 Mg 2.98-3.16, 4 Hg 3.04-3.15, 2 Ag 3.09
Ag (0.0000, 0.8267, 0.9880)  3 Cd 2.92-2.99, 3 Mg 2.98-3.16, 4 Hg 3.04-3.15, 2 Ag 3.09
Ag (0.5000, 0.3340, 0.2226)  1 Hg 2.96, 2 Mg 3.02, 7 Cd 3.02-3.12, 2 Ag 3.09
Ag (0.5000, 0.6660, 0.7226)  1 Hg 2.96, 2 Mg 3.02, 7 Cd 3.02-3.12, 2 Ag 3.09
Hg (0.5000, 0.0042, 0.2489)  5 Ag 2.96-3.15, 1 Cd 2.99, 4 Mg 3.01-3.05, 2 Hg 3.08
Hg (0.5000, 0.9958, 0.7489)  5 Ag 2.96-3.15, 1 Cd 2.99, 4 Mg 3.01-3.05, 2 Hg 3.08

**D(E_F)**: 0.19 states/eV per atom
**M_tot**: 0.000 μB per formula unit
**Calculated formation energy**: -72 meV per atom
**Symmetry**: Pmc2_1

## NaAs4 (PBE)

Data for a relaxed structure of NaAs4.

a b c (Å): 6.3862 4.6034 8.9490
angles (deg): 90.00 93.41 90.00
Closest atoms and distances in Å follow each position.
Fractional coordinates of all 10 atoms:
Na (0.0000, 0.0000, 0.0000)  6 As 2.97-3.31
Na (0.0000, 0.5000, 0.5000)  6 As 2.97-3.31
As (0.2646, 0.2148, 0.7420)  2 As 2.46-2.47
As (0.2646, 0.2852, 0.2420)  2 As 2.46-2.47
As (0.4078, 0.6345, 0.8854)  3 As 2.46-2.62
As (0.4078, 0.8655, 0.3854)  3 As 2.46-2.62
As (0.5922, 0.1345, 0.6146)  3 As 2.46-2.62
As (0.5922, 0.3655, 0.1146)  3 As 2.46-2.62
As (0.7354, 0.7148, 0.7580)  2 As 2.46-2.47
As (0.7354, 0.7852, 0.2580)  2 As 2.46-2.47

**D(E_F)**: 0.10 states/eV per atom
**Excess energy over the best structure of this formula in the dataset**: 0 meV per atom
**M_tot**: 0.000 μB per formula unit
**Calculated formation energy**: -69 meV per atom
**Symmetry**: P2_1/c

## Pu2ThFeC4 (PBE)

Data for a relaxed structure of Pu2ThFeC4.

a b c (Å): 5.9517 5.9517 11.7329
angles (deg): 90.00 90.00 145.63
Closest atoms and distances in Å follow each position.
Fractional coordinates of all 16 atoms:
Pu (0.1326, 0.8674, 0.5469)  6 C 2.38-2.48
Pu (0.1326, 0.8674, 0.9531)  6 C 2.38-2.48
Pu (0.8674, 0.1326, 0.0469)  6 C 2.38-2.48
Pu (0.8674, 0.1326, 0.4531)  6 C 2.38-2.48
Th (0.3996, 0.6004, 0.7500)  6 C 2.71-2.75, 1 Fe 2.98
Th (0.6004, 0.3996, 0.2500)  6 C 2.71-2.75, 1 Fe 2.98
Fe (0.3384, 0.6616, 0.2500)  4 C 1.82-1.99
Fe (0.6616, 0.3384, 0.7500)  4 C 1.82-1.99
C (0.0805, 0.9195, 0.7500)  2 Fe 1.99
C (0.2381, 0.7619, 0.1286)  1 Fe 1.82
C (0.2381, 0.7619, 0.3714)  1 Fe 1.82
C (0.5000, 0.5000, 0.0000)  4 Pu 2.38
C (0.5000, 0.5000, 0.5000)  4 Pu 2.38
C (0.7619, 0.2381, 0.6286)  1 Fe 1.82
C (0.7619, 0.2381, 0.8714)  1 Fe 1.82
C (0.9195, 0.0805, 0.2500)  2 Fe 1.99

**D(E_F)**: 1.86 states/eV per atom
**M_tot**: 8.205 μB per formula unit
**Calculated formation energy**: 11 meV per atom
**Symmetry**: Cmcm

## Ca4CdH (PBE)

Data for a relaxed structure of Ca4CdH.

a b c (Å): 6.2518 6.2518 9.8653
angles (deg): 90.00 90.00 83.11
Closest atoms and distances in Å follow each position.
Fractional coordinates of all 12 atoms:
Ca (0.2255, 0.7745, 0.5507)  1 H 2.31
Ca (0.2255, 0.7745, 0.9493)  1 H 2.31
Ca (0.2662, 0.3532, 0.2500)  1 H 2.28
Ca (0.3532, 0.2662, 0.7500)  1 H 2.28
Ca (0.6468, 0.7338, 0.2500)  1 H 2.28
Ca (0.7338, 0.6468, 0.7500)  1 H 2.28
Ca (0.7745, 0.2255, 0.0507)  1 H 2.31
Ca (0.7745, 0.2255, 0.4493)  1 H 2.31
Cd (0.1109, 0.8891, 0.2500)  8 Ca 3.12-3.41
Cd (0.8891, 0.1109, 0.7500)  8 Ca 3.12-3.41
H (0.3724, 0.6276, 0.7500)  4 Ca 2.28-2.31
H (0.6276, 0.3724, 0.2500)  4 Ca 2.28-2.31

**D(E_F)**: 0.71 states/eV per atom
**M_tot**: 0.000 μB per formula unit
**Total energy**: -2.242 eV per atom
**Symmetry**: Cmcm

## Rb3La2TbTe6 (PBE)

Data for a relaxed structure of Rb3La2TbTe6.

a b c (Å): 8.1002 8.1002 8.9648
angles (deg): 98.68 98.68 120.00
Closest atoms and distances in Å follow each position.
Fractional coordinates of all 12 atoms:
Rb (0.0000, 0.0000, 0.0000)  6 Te 3.67-3.76
Rb (0.3311, 0.6689, 0.0000)  6 Te 3.67-3.74
Rb (0.6689, 0.3311, 0.0000)  6 Te 3.67-3.74
La (0.1664, 0.8336, 0.5000)  6 Te 3.25
La (0.8336, 0.1664, 0.5000)  6 Te 3.25
Tb (0.5000, 0.5000, 0.5000)  6 Te 3.15
Te (0.1086, 0.4322, 0.2962)  1 Tb 3.15, 2 La 3.25
Te (0.2450, 0.2450, 0.7044)  1 Tb 3.15, 2 La 3.25
Te (0.4322, 0.1086, 0.2962)  1 Tb 3.15, 2 La 3.25
Te (0.5678, 0.8914, 0.7038)  1 Tb 3.15, 2 La 3.25
Te (0.7550, 0.7550, 0.2956)  1 Tb 3.15, 2 La 3.25
Te (0.8914, 0.5678, 0.7038)  1 Tb 3.15, 2 La 3.25

**D(E_F)**: 0.00 states/eV per atom
**M_tot**: 0.000 μB per formula unit
**Energy relative to the elements, uncorrected**: -1.456 eV/atom
**Symmetry**: C2/m

## CeZr2Cr (PBE)

Data for a relaxed structure of CeZr2Cr.

a b c (Å): 3.2455 3.2455 8.1590
angles (deg): 90.00 90.00 90.00
Closest atoms and distances in Å follow each position.
Fractional coordinates of all 4 atoms:
Ce (0.0000, 0.0000, 0.0000)  4 Ce 3.25, 8 Zr 3.39
Zr (0.5000, 0.5000, 0.3054)  4 Cr 2.79
Zr (0.5000, 0.5000, 0.6946)  4 Cr 2.79
Cr (0.0000, 0.0000, 0.5000)  8 Zr 2.79

**D(E_F)**: 1.55 states/eV per atom
**Excess energy over the best structure of this formula in the dataset**: 0 meV per atom
**M_tot**: 1.786 μB per formula unit
**Calculated formation energy**: 164 meV per atom
**Symmetry**: P4/mmm

Copy entry 7 word for word.
## Pu2ThFeC4 (PBE)

Data for a relaxed structure of Pu2ThFeC4.

a b c (Å): 5.9517 5.9517 11.7329
angles (deg): 90.00 90.00 145.63
Closest atoms and distances in Å follow each position.
Fractional coordinates of all 16 atoms:
Pu (0.1326, 0.8674, 0.5469)  6 C 2.38-2.48
Pu (0.1326, 0.8674, 0.9531)  6 C 2.38-2.48
Pu (0.8674, 0.1326, 0.0469)  6 C 2.38-2.48
Pu (0.8674, 0.1326, 0.4531)  6 C 2.38-2.48
Th (0.3996, 0.6004, 0.7500)  6 C 2.71-2.75, 1 Fe 2.98
Th (0.6004, 0.3996, 0.2500)  6 C 2.71-2.75, 1 Fe 2.98
Fe (0.3384, 0.6616, 0.2500)  4 C 1.82-1.99
Fe (0.6616, 0.3384, 0.7500)  4 C 1.82-1.99
C (0.0805, 0.9195, 0.7500)  2 Fe 1.99
C (0.2381, 0.7619, 0.1286)  1 Fe 1.82
C (0.2381, 0.7619, 0.3714)  1 Fe 1.82
C (0.5000, 0.5000, 0.0000)  4 Pu 2.38
C (0.5000, 0.5000, 0.5000)  4 Pu 2.38
C (0.7619, 0.2381, 0.6286)  1 Fe 1.82
C (0.7619, 0.2381, 0.8714)  1 Fe 1.82
C (0.9195, 0.0805, 0.2500)  2 Fe 1.99

**D(E_F)**: 1.86 states/eV per atom
**M_tot**: 8.205 μB per formula unit
**Calculated formation energy**: 11 meV per atom
**Symmetry**: Cmcm

Repeat the sixth record exactly.
## NaAs4 (PBE)

Data for a relaxed structure of NaAs4.

a b c (Å): 6.3862 4.6034 8.9490
angles (deg): 90.00 93.41 90.00
Closest atoms and distances in Å follow each position.
Fractional coordinates of all 10 atoms:
Na (0.0000, 0.0000, 0.0000)  6 As 2.97-3.31
Na (0.0000, 0.5000, 0.5000)  6 As 2.97-3.31
As (0.2646, 0.2148, 0.7420)  2 As 2.46-2.47
As (0.2646, 0.2852, 0.2420)  2 As 2.46-2.47
As (0.4078, 0.6345, 0.8854)  3 As 2.46-2.62
As (0.4078, 0.8655, 0.3854)  3 As 2.46-2.62
As (0.5922, 0.1345, 0.6146)  3 As 2.46-2.62
As (0.5922, 0.3655, 0.1146)  3 As 2.46-2.62
As (0.7354, 0.7148, 0.7580)  2 As 2.46-2.47
As (0.7354, 0.7852, 0.2580)  2 As 2.46-2.47

**D(E_F)**: 0.10 states/eV per atom
**Excess energy over the best structure of this formula in the dataset**: 0 meV per atom
**M_tot**: 0.000 μB per formula unit
**Calculated formation energy**: -69 meV per atom
**Symmetry**: P2_1/c

Look up the M_tot of the fifth one.
0.000 μB per formula unit